GGA-PBEsol LiCaZn2, optimized geometry; M_tot = 0.00 μB per formula unit; formation enthalpy at 0 K = -0.708 eV/f.u.; ΔE to the lowest computed polymorph = 0.000 eV/f.u.; DOS(E_F) = 0.473 states/eV per atom
1.0
2.185 1.262 4.892
-2.185 1.262 4.892
0.000 -2.523 4.892
Li Ca Zn
1 1 2
Direct
0.000 0.000 0.000
0.201 0.201 0.201
0.408 0.408 0.408
0.727 0.727 0.727

***

GGA-PBEsol LiCa2Zr, optimized geometry; M_tot = 0.00 μB per formula unit; formation enthalpy at 0 K = 1.180 eV/f.u.; ΔE to the lowest computed polymorph = 0.000 eV/f.u.; DOS(E_F) = 1.430 states/eV per atom
1.0
3.454 0.000 0.000
0.000 3.454 0.000
0.000 0.000 9.347
Li Ca Zr
1 2 1
Direct
0.000 0.000 0.000
0.000 0.000 0.440
0.500 0.500 0.772
0.500 0.500 0.182

***

GGA-PBEsol LiCa2Zr, optimized geometry; M_tot = 0.35 μB per formula unit; formation enthalpy at 0 K = 1.839 eV/f.u.; ΔE to the lowest computed polymorph = 0.659 eV/f.u.; DOS(E_F) = 1.385 states/eV per atom
1.0
3.663 0.000 0.000
0.000 5.403 0.000
0.000 0.000 5.662
Li Ca Zr
1 2 1
Direct
0.000 0.000 0.000
0.000 0.500 0.500
0.500 0.500 0.000
0.500 0.000 0.500

***

GGA-PBEsol LiCa2Zr, optimized geometry; M_tot = 1.34 μB per formula unit; formation enthalpy at 0 K = 1.531 eV/f.u.; ΔE to the lowest computed polymorph = 0.351 eV/f.u.; DOS(E_F) = 1.478 states/eV per atom
1.0
5.769 0.000 0.000
0.000 5.769 0.000
0.000 0.000 3.472
Li Ca Zr
1 2 1
Direct
0.000 0.000 0.000
0.000 0.500 0.500
0.500 0.000 0.500
0.500 0.500 0.000

***

GGA-PBEsol CaLuMn2O6, optimized geometry; E_form (uncorrected) = -2.545 eV/atom; M_tot = 6.96 μB per formula unit; ΔE to the lowest computed polymorph = 0.000 eV/f.u.; DOS(E_F) = 0.202 states/eV per atom
1.0
7.440 0.000 0.000
0.000 5.160 0.000
0.000 0.000 5.397
Ca Lu Mn O
2 2 4 12
Direct
0.000 0.237 0.000
0.000 0.763 0.500
0.500 0.266 0.126
0.500 0.734 0.626
0.250 0.246 0.557
0.250 0.754 0.057
0.750 0.246 0.557
0.750 0.754 0.057
0.000 0.327 0.577
0.000 0.673 0.077
0.218 0.059 0.250
0.218 0.941 0.750
0.311 0.452 0.852
0.311 0.548 0.352
0.500 0.147 0.524
0.500 0.853 0.024
0.689 0.452 0.852
0.689 0.548 0.352
0.782 0.059 0.250
0.782 0.941 0.750

***

GGA-PBEsol CaLuMn2O6, optimized geometry; E_form (uncorrected) = -2.541 eV/atom; M_tot = 6.97 μB per formula unit; ΔE to the lowest computed polymorph = 0.037 eV/f.u.; DOS(E_F) = 0.199 states/eV per atom
1.0
7.390 0.000 0.000
0.000 5.414 0.000
0.000 0.000 5.175
Ca Lu Mn O
2 2 4 12
Direct
0.000 0.195 0.000
0.500 0.805 0.500
0.000 0.679 0.466
0.500 0.321 0.966
0.250 0.245 0.487
0.250 0.755 0.987
0.750 0.245 0.487
0.750 0.755 0.987
0.000 0.282 0.570
0.000 0.774 0.877
0.197 0.944 0.296
0.203 0.463 0.197
0.297 0.537 0.697
0.303 0.056 0.796
0.500 0.226 0.377
0.500 0.718 0.070
0.697 0.056 0.796
0.703 0.537 0.697
0.797 0.463 0.197
0.803 0.944 0.296

***

GGA-PBEsol CaLuPd2, optimized geometry; M_tot = 0.00 μB per formula unit; formation enthalpy at 0 K = -3.089 eV/f.u.; DOS(E_F) = 0.515 states/eV per atom
1.0
0.000 3.405 3.405
3.405 0.000 3.405
3.405 3.405 0.000
Ca Lu Pd
1 1 2
Direct
0.000 0.000 0.000
0.500 0.500 0.500
0.250 0.250 0.250
0.750 0.750 0.750

***

GGA-PBEsol CaLu2Te4, optimized geometry; E_form (uncorrected) = -1.405 eV/atom; M_tot = 0.00 μB per formula unit
1.0
7.302 0.000 0.000
0.000 4.267 0.000
-2.314 0.000 7.229
Ca Lu Te
1 2 4
Direct
0.000 0.000 0.000
0.000 0.500 0.500
0.500 0.000 0.500
0.247 0.000 0.737
0.263 0.500 0.258
0.737 0.500 0.742
0.753 0.000 0.263

***

GGA-PBEsol Ca5Mg, optimized geometry; M_tot = 0.00 μB per formula unit; formation enthalpy at 0 K = 0.151 eV/f.u.; ΔE to the lowest computed polymorph = 0.287 eV/f.u.; DOS(E_F) = 1.055 states/eV per atom
1.0
3.795 0.000 0.000
-1.897 3.286 0.000
0.000 0.000 18.204
Ca Mg
5 1
Direct
0.000 0.000 0.000
0.000 0.000 0.352
0.000 0.000 0.648
0.667 0.333 0.176
0.667 0.333 0.824
0.667 0.333 0.500

***

GGA-PBEsol CaMg5, optimized geometry; M_tot = 0.00 μB per formula unit; formation enthalpy at 0 K = 0.076 eV/f.u.; DOS(E_F) = 0.545 states/eV per atom
1.0
5.264 0.000 0.000
0.000 1.660 8.642
0.000 -1.660 8.642
Ca Mg
1 5
Direct
0.000 0.000 0.000
0.000 0.326 0.326
0.000 0.671 0.671
0.500 0.222 0.222
0.500 0.565 0.565
0.500 0.884 0.884

***

GGA-PBEsol CaMg5, optimized geometry; M_tot = 0.00 μB per formula unit; formation enthalpy at 0 K = 0.029 eV/f.u.; DOS(E_F) = 0.581 states/eV per atom
1.0
2.843 1.641 5.409
-2.843 1.641 5.409
0.000 -3.282 5.409
Ca Mg
1 5
Direct
0.000 0.000 0.000
0.175 0.825 0.500
0.333 0.333 0.333
0.500 0.175 0.825
0.667 0.667 0.667
0.825 0.500 0.175

***

GGA-PBEsol Ca5Mg4, optimized geometry; M_tot = 0.00 μB per formula unit; formation enthalpy at 0 K = -0.199 eV/f.u.; ΔE to the lowest computed polymorph = 0.000 eV/f.u.; DOS(E_F) = 0.895 states/eV per atom
1.0
-5.235 5.235 2.560
5.235 -5.235 2.560
5.235 5.235 -2.560
Ca Mg
5 4
Direct
0.000 0.000 0.000
0.328 0.328 0.656
0.328 0.672 0.000
0.672 0.328 0.000
0.672 0.672 0.344
0.000 0.349 0.349
0.000 0.651 0.651
0.349 0.000 0.349
0.651 0.000 0.651

***

GGA-PBEsol Ca4Mg5, optimized geometry; M_tot = 0.00 μB per formula unit; formation enthalpy at 0 K = -0.059 eV/f.u.; ΔE to the lowest computed polymorph = 0.202 eV/f.u.; DOS(E_F) = 0.928 states/eV per atom
1.0
9.645 0.000 0.000
-4.822 8.353 0.000
0.000 0.000 6.664
Ca Mg
8 10
Direct
0.000 0.000 0.000
0.000 0.000 0.500
0.000 0.350 0.250
0.000 0.650 0.750
0.350 0.000 0.250
0.350 0.350 0.750
0.650 0.000 0.750
0.650 0.650 0.250
0.000 0.323 0.750
0.000 0.677 0.250
0.323 0.000 0.750
0.323 0.323 0.250
0.333 0.667 0.000
0.333 0.667 0.500
0.667 0.333 0.000
0.667 0.333 0.500
0.677 0.000 0.250
0.677 0.677 0.750

***

GGA-PBEsol Ca4Mg, optimized geometry; M_tot = 0.00 μB per formula unit; formation enthalpy at 0 K = 0.031 eV/f.u.; ΔE to the lowest computed polymorph = 0.000 eV/f.u.; DOS(E_F) = 1.131 states/eV per atom
1.0
-4.190 4.190 2.583
4.190 -4.190 2.583
4.190 4.190 -2.583
Ca Mg
4 1
Direct
0.103 0.705 0.809
0.295 0.103 0.398
0.705 0.897 0.602
0.897 0.295 0.191
0.500 0.500 0.000

***

GGA-PBEsol Ca4Mg5, optimized geometry; M_tot = 0.00 μB per formula unit; formation enthalpy at 0 K = -0.261 eV/f.u.; ΔE to the lowest computed polymorph = 0.000 eV/f.u.; DOS(E_F) = 0.822 states/eV per atom
1.0
-5.120 5.120 2.565
5.120 -5.120 2.565
5.120 5.120 -2.565
Ca Mg
4 5
Direct
0.000 0.314 0.314
0.000 0.686 0.686
0.314 0.000 0.314
0.686 0.000 0.686
0.000 0.000 0.000
0.343 0.343 0.686
0.343 0.657 0.000
0.657 0.343 0.000
0.657 0.657 0.314

***

GGA-PBEsol Ca5Mg, optimized geometry; M_tot = 0.00 μB per formula unit; formation enthalpy at 0 K = -0.023 eV/f.u.; ΔE to the lowest computed polymorph = 0.113 eV/f.u.; DOS(E_F) = 1.248 states/eV per atom
1.0
2.629 -7.890 0.000
2.629 7.890 0.000
0.000 0.000 5.343
Ca Mg
5 1
Direct
0.000 0.000 0.000
0.159 0.841 0.500
0.338 0.662 0.000
0.662 0.338 0.000
0.841 0.159 0.500
0.500 0.500 0.500

***

GGA-PBEsol Ca5Mg, optimized geometry; M_tot = 0.00 μB per formula unit; formation enthalpy at 0 K = -0.135 eV/f.u.; ΔE to the lowest computed polymorph = 0.000 eV/f.u.; DOS(E_F) = 1.162 states/eV per atom
1.0
3.981 0.000 0.000
0.000 3.981 0.000
0.000 0.000 14.113
Ca Mg
5 1
Direct
0.000 0.000 0.000
0.000 0.000 0.366
0.000 0.000 0.634
0.500 0.500 0.183
0.500 0.500 0.817
0.500 0.500 0.500

***

GGA-PBEsol CaMg5, optimized geometry; M_tot = 0.00 μB per formula unit; formation enthalpy at 0 K = -0.153 eV/f.u.; DOS(E_F) = 0.526 states/eV per atom
1.0
2.307 -6.841 0.000
2.307 6.841 0.000
0.000 0.000 4.766
Ca Mg
1 5
Direct
0.000 0.000 0.000
0.170 0.830 0.500
0.324 0.676 0.000
0.500 0.500 0.500
0.676 0.324 0.000
0.830 0.170 0.500

***

GGA-PBEsol Ca4Mg, optimized geometry; M_tot = 0.00 μB per formula unit; formation enthalpy at 0 K = 1.418 eV/f.u.; ΔE to the lowest computed polymorph = 1.387 eV/f.u.; DOS(E_F) = 1.185 states/eV per atom
1.0
-2.269 2.269 9.577
2.269 -2.269 9.577
2.269 2.269 -9.577
Ca Mg
4 1
Direct
0.091 0.091 0.000
0.250 0.750 0.500
0.750 0.250 0.500
0.909 0.909 0.000
0.500 0.500 0.000

***

GGA-PBEsol Ca4Mg3, optimized geometry; M_tot = 0.00 μB per formula unit; formation enthalpy at 0 K = -0.262 eV/f.u.; ΔE to the lowest computed polymorph = 0.066 eV/f.u.; DOS(E_F) = 0.894 states/eV per atom
1.0
6.290 0.000 0.000
-3.145 5.448 0.000
0.000 0.000 6.604
Ca Mg
4 3
Direct
0.000 0.000 0.246
0.000 0.000 0.754
0.333 0.667 0.500
0.667 0.333 0.500
0.000 0.500 0.000
0.500 0.000 0.000
0.500 0.500 0.000

***

GGA-PBEsol CaMg5, optimized geometry; M_tot = 0.00 μB per formula unit; formation enthalpy at 0 K = -0.167 eV/f.u.; DOS(E_F) = 0.448 states/eV per atom
1.0
0.000 4.238 4.238
4.238 0.000 4.238
4.238 4.238 0.000
Ca Mg
1 5
Direct
0.000 0.000 0.000
0.375 0.375 0.375
0.375 0.375 0.875
0.375 0.875 0.375
0.750 0.750 0.750
0.875 0.375 0.375

***

GGA-PBEsol CaMg5, optimized geometry; M_tot = 0.00 μB per formula unit; formation enthalpy at 0 K = -0.148 eV/f.u.; DOS(E_F) = 0.526 states/eV per atom
1.0
3.560 0.000 0.000
0.000 3.560 0.000
0.000 0.000 11.738
Ca Mg
1 5
Direct
0.000 0.000 0.000
0.000 0.000 0.346
0.000 0.000 0.654
0.500 0.500 0.196
0.500 0.500 0.500
0.500 0.500 0.804

***

GGA-PBEsol Ca5Mg, optimized geometry; M_tot = 0.00 μB per formula unit; formation enthalpy at 0 K = -0.045 eV/f.u.; ΔE to the lowest computed polymorph = 0.090 eV/f.u.; DOS(E_F) = 1.156 states/eV per atom
1.0
6.702 -2.061 0.000
6.702 2.061 0.000
-2.669 0.000 8.090
Ca Mg
5 1
Direct
0.000 0.000 0.000
0.017 0.017 0.458
0.352 0.352 0.650
0.686 0.686 0.840
0.704 0.704 0.300
0.351 0.351 0.148

***

GGA-PBEsol Ca5Mg, optimized geometry; M_tot = 0.00 μB per formula unit; formation enthalpy at 0 K = 0.006 eV/f.u.; ΔE to the lowest computed polymorph = 0.141 eV/f.u.; DOS(E_F) = 0.746 states/eV per atom
1.0
6.483 0.000 0.000
-3.242 5.615 0.000
0.000 0.000 6.090
Ca Mg
5 1
Direct
0.000 0.678 0.000
0.322 0.322 0.000
0.333 0.667 0.500
0.667 0.333 0.500
0.678 0.000 0.000
0.000 0.000 0.500

***

GGA-PBEsol Ca5Mg4, optimized geometry; M_tot = 0.00 μB per formula unit; formation enthalpy at 0 K = -0.169 eV/f.u.; ΔE to the lowest computed polymorph = 0.030 eV/f.u.; DOS(E_F) = 1.074 states/eV per atom
1.0
9.888 0.000 0.000
-4.944 8.563 0.000
0.000 0.000 6.837
Ca Mg
10 8
Direct
0.000 0.300 0.250
0.000 0.700 0.750
0.300 0.000 0.250
0.300 0.300 0.750
0.333 0.667 0.000
0.333 0.667 0.500
0.667 0.333 0.000
0.667 0.333 0.500
0.700 0.000 0.750
0.700 0.700 0.250
0.000 0.000 0.000
0.000 0.000 0.500
0.000 0.361 0.750
0.000 0.639 0.250
0.361 0.000 0.750
0.361 0.361 0.250
0.639 0.000 0.250
0.639 0.639 0.750